# RbTl3Rh | Alexandria | PBE-GGA | relaxed
data_RbTl3Rh
_symmetry_space_group_name_H-M 'P 1'
_symmetry_Int_Tables_number 1
_cell_length_a 4.605
_cell_length_b 4.605
_cell_length_c 9.398
_cell_angle_alpha 90.00
_cell_angle_beta 90.00
_cell_angle_gamma 90.00
loop_
_symmetry_equiv_pos_as_xyz
'x,y,z'
loop_
_atom_site_label
_atom_site_type_symbol
_atom_site_fract_x
_atom_site_fract_y
_atom_site_fract_z
Rb1 Rb 0.000 0.000 0.000
Tl1 Tl 0.000 0.000 0.402
Tl2 Tl 0.000 0.500 0.654
Tl3 Tl 0.500 0.000 0.654
Rh1 Rh 0.500 0.500 0.817
# Total DFT energy (no corrections) ... -14.1 eV per cell
# Calculated volume ... 199.3 Å³/cell